# HfCrS2O

A relaxed HfCrS2O crystal (PBE+U, Alexandria).

Cell: 5.042 5.042 3.928 Å, 90.00 90.00 90.00°
Positions (direct):
1 Hf 0.000 0.000 0.000
2 Cr 0.500 0.500 0.500
3 S 0.000 0.500 0.000
4 S 0.500 0.000 0.000
5 O 0.000 0.000 0.500

Values from the calculation:
space group: P4/mmm (123)
electronic total energy: -7.348 eV per atom